[1]
SmTiFe11: relaxed, PBE.

abc: 6.473 6.473 6.473
angles: 137.47 97.61 97.51
Sites, in units of the cell vectors:
Sm 0.000 0.000 0.000
Ti 0.374 0.374 0.000
Fe 0.004 0.004 0.499
Fe 0.004 0.505 0.000
Fe 0.230 0.506 0.724
Fe 0.234 0.734 0.500
Fe 0.362 0.005 0.357
Fe 0.505 0.004 0.000
Fe 0.505 0.505 0.501
Fe 0.648 0.005 0.643
Fe 0.651 0.651 0.000
Fe 0.772 0.272 0.500
Fe 0.783 0.506 0.276

Properties
Magnetization   21.17 μB per formula unit
Crystal system   orthorhombic
ΔE_f   -0.05 eV/atom
DFT total energy   -8.19 eV per atom
DOS(E_F)   0.9286 states/eV per atom


[2]
SmTiFe4: relaxed, PBE.

abc: 5.023 5.023 5.023
angles: 60.00 60.00 60.00
Sites, in units of the cell vectors:
Sm 0.000 0.000 0.000
Ti 0.250 0.250 0.250
Fe 0.127 0.624 0.624
Fe 0.624 0.127 0.624
Fe 0.624 0.624 0.127
Fe 0.624 0.624 0.624

Properties
Magnetization   6.37 μB per formula unit
Crystal system   cubic
ΔE_f   -0.06 eV/atom
DFT total energy   -7.81 eV per atom
DOS(E_F)   0.7595 states/eV per atom


[3]
SmTiVFe10: relaxed, PBE.

abc: 6.495 6.495 6.495
angles: 137.60 98.00 97.02
Sites, in units of the cell vectors:
Sm 0.000 0.000 0.000
Ti 0.359 0.359 0.000
V 0.650 0.650 0.000
Fe 0.227 0.501 0.726
Fe 0.227 0.727 0.500
Fe 0.358 0.999 0.359
Fe 0.502 0.000 0.001
Fe 0.502 0.501 0.502
Fe 0.641 0.999 0.641
Fe 0.770 0.270 0.500
Fe 0.775 0.501 0.274
Fe 0.998 0.000 0.498
Fe 0.998 0.501 0.999

Properties
Magnetization   16.79 μB per formula unit
Crystal system   orthorhombic
ΔE_f   -0.07 eV/atom
DFT total energy   -8.25 eV per atom
DOS(E_F)   0.9238 states/eV per atom


[4]
Sm2TlFe: relaxed, PBE.

abc: 3.576 3.576 7.842
angles: 90.00 90.00 90.00
Sites, in units of the cell vectors:
Sm 0.000 0.000 0.212
Sm 0.000 0.000 0.788
Tl 0.500 0.500 0.500
Fe 0.500 0.500 0.000

Properties
Relative energy among the computed polymorphs   0.00 eV per formula unit
Magnetization   1.51 μB per formula unit
Crystal system   tetragonal
ΔE_f   -0.05 eV/atom
DFT total energy   -5.12 eV per atom
DOS(E_F)   1.5220 states/eV per atom


[5]
Sm6TlFe13: relaxed, PBE.

abc: 12.924 12.924 12.924
angles: 143.86 143.86 52.03
Sites, in units of the cell vectors:
Sm 0.020 0.520 0.172
Sm 0.104 0.104 0.000
Sm 0.152 0.980 0.500
Sm 0.348 0.848 0.828
Sm 0.396 0.396 0.000
Sm 0.480 0.652 0.500
Sm 0.520 0.348 0.500
Sm 0.604 0.604 0.000
Sm 0.652 0.152 0.172
Sm 0.848 0.020 0.500
Sm 0.896 0.896 0.000
Sm 0.980 0.480 0.828
Tl 0.250 0.250 0.000
Tl 0.750 0.750 0.000
Fe 0.000 0.500 0.500
Fe 0.019 0.291 0.500
Fe 0.066 0.210 0.276
Fe 0.120 0.620 0.858
Fe 0.209 0.481 0.500
Fe 0.210 0.934 0.143
Fe 0.238 0.738 0.858
Fe 0.262 0.120 0.500
Fe 0.290 0.434 0.724
Fe 0.291 0.791 0.272
Fe 0.380 0.238 0.500
Fe 0.434 0.710 0.143
Fe 0.481 0.981 0.272
Fe 0.500 0.000 0.500
Fe 0.519 0.019 0.728
Fe 0.566 0.290 0.857
Fe 0.620 0.762 0.500
Fe 0.709 0.209 0.728
Fe 0.710 0.566 0.276
Fe 0.738 0.880 0.500
Fe 0.762 0.262 0.142
Fe 0.790 0.066 0.857
Fe 0.791 0.519 0.500
Fe 0.880 0.380 0.142
Fe 0.934 0.790 0.724
Fe 0.981 0.709 0.500

Properties
Magnetization   25.94 μB per formula unit
Crystal system   tetragonal
ΔE_f   -0.06 eV/atom
DFT total energy   -7.10 eV per atom
DOS(E_F)   0.9156 states/eV per atom


[6]
Sm3TlFe: relaxed, PBE.

abc: 5.208 5.208 5.208
angles: 90.00 90.00 90.00
Sites, in units of the cell vectors:
Sm 0.000 0.000 0.500
Sm 0.000 0.500 0.000
Sm 0.500 0.000 0.000
Tl 0.500 0.500 0.500
Fe 0.000 0.000 0.000

Properties
Magnetization   0.13 μB per formula unit
Crystal system   cubic
ΔE_f   0.00 eV/atom
DFT total energy   -5.00 eV per atom
DOS(E_F)   1.3706 states/eV per atom


[7]
Sm8Tl2Fe: relaxed, PBE.

abc: 9.213 9.213 9.213
angles: 143.99 135.62 58.43
Sites, in units of the cell vectors:
Sm 0.142 0.381 0.761
Sm 0.198 0.198 0.000
Sm 0.241 0.000 0.241
Sm 0.380 0.619 0.761
Sm 0.620 0.381 0.239
Sm 0.759 0.000 0.759
Sm 0.802 0.802 0.000
Sm 0.858 0.619 0.239
Tl 0.315 0.815 0.500
Tl 0.685 0.185 0.500
Fe 0.000 0.500 0.500

Properties
Magnetization   0.00 μB per formula unit
Crystal system   orthorhombic
ΔE_f   -0.10 eV/atom
DFT total energy   -4.73 eV per atom
DOS(E_F)   1.0047 states/eV per atom


[8]
Sm12Tl6Fe: relaxed, PBE.

abc: 8.454 8.454 8.454
angles: 94.36 94.36 94.36
Sites, in units of the cell vectors:
Sm 0.022 0.692 0.920
Sm 0.080 0.978 0.308
Sm 0.201 0.542 0.423
Sm 0.308 0.080 0.978
Sm 0.423 0.201 0.542
Sm 0.458 0.577 0.799
Sm 0.542 0.423 0.201
Sm 0.577 0.799 0.458
Sm 0.692 0.920 0.022
Sm 0.799 0.458 0.577
Sm 0.920 0.022 0.692
Sm 0.978 0.308 0.080
Tl 0.139 0.349 0.731
Tl 0.269 0.861 0.651
Tl 0.349 0.731 0.139
Tl 0.651 0.269 0.861
Tl 0.731 0.139 0.349
Tl 0.861 0.651 0.269
Fe 0.000 0.000 0.000

Properties
Magnetization   0.00 μB per formula unit
Crystal system   trigonal
ΔE_f   -0.13 eV/atom
DFT total energy   -4.30 eV per atom
DOS(E_F)   1.0249 states/eV per atom